(1)
Entry from Alexandria via LeMat-Bulk: a relaxed structure of K2SrZn (PBE).

## Properties
formation energy from the elements	0.5	eV/f.u.
SG	No. 44
raw total energy	-1.1537	eV/atom

a = 7.9941 Å, b = 7.9941 Å, c = 7.9941 Å
α = 148.59°, β = 129.82°, γ = 60.41°
Atoms (fractional coordinates):
K (0.0000, 0.0000, 0.0000)
K (0.6884, 0.1884, 0.5000)
Sr (0.3096, 0.8096, 0.5000)
Zn (0.4852, 0.4852, 0.0000)

---

(2)
Entry from Alexandria via LeMat-Bulk: a relaxed structure of Ba6Te2AsCl3 (PBE).

## Properties
uncorrected formation energy	-1.7705	eV per atom
SG	No. 12
raw total energy	-4.1046	eV/atom

a = 8.3716 Å, b = 8.3716 Å, c = 8.0462 Å
α = 100.03°, β = 100.03°, γ = 119.93°
Atoms (fractional coordinates):
Ba (0.0827, 0.3983, 0.7479)
Ba (0.2328, 0.2328, 0.2534)
Ba (0.3983, 0.0827, 0.7479)
Ba (0.6017, 0.9173, 0.2521)
Ba (0.7672, 0.7672, 0.7466)
Ba (0.9173, 0.6017, 0.2521)
Te (0.3332, 0.6668, 0.5000)
Te (0.6668, 0.3332, 0.5000)
As (0.0000, 0.0000, 0.5000)
Cl (0.1688, 0.8312, 0.0000)
Cl (0.5000, 0.5000, 0.0000)
Cl (0.8312, 0.1688, 0.0000)

---

(3)
Entry from Alexandria via LeMat-Bulk: a relaxed structure of Si2Pd2Ru (PBE).

## Properties
uncorrected formation energy	-0.3459	eV per atom
SG	No. 127
raw total energy	-6.4474	eV/atom

a = 6.3583 Å, b = 6.3583 Å, c = 3.5224 Å
α = 90.00°, β = 90.00°, γ = 90.00°
Atoms (fractional coordinates):
Si (0.1439, 0.3561, 0.0000)
Si (0.3561, 0.8561, 0.0000)
Si (0.6439, 0.1439, 0.0000)
Si (0.8561, 0.6439, 0.0000)
Pd (0.1593, 0.6593, 0.5000)
Pd (0.3407, 0.1593, 0.5000)
Pd (0.6593, 0.8407, 0.5000)
Pd (0.8407, 0.3407, 0.5000)
Ru (0.0000, 0.0000, 0.0000)
Ru (0.5000, 0.5000, 0.0000)

---

(4)
Entry from Alexandria via LeMat-Bulk: a relaxed structure of Sr5DyBi5 (PBE).

## Properties
formation energy from the elements	-7.8	eV/f.u.
SG	No. 12
raw total energy	-3.6582	eV/atom

a = 8.5190 Å, b = 8.5190 Å, c = 9.3198 Å
α = 106.47°, β = 106.47°, γ = 46.07°
Atoms (fractional coordinates):
Sr (0.0000, 0.0000, 0.0000)
Sr (0.3139, 0.3139, 0.1767)
Sr (0.3243, 0.3243, 0.6496)
Sr (0.6757, 0.6757, 0.3504)
Sr (0.6861, 0.6861, 0.8233)
Dy (0.0000, 0.0000, 0.5000)
Bi (0.1482, 0.1482, 0.3351)
Bi (0.1573, 0.1573, 0.8215)
Bi (0.5000, 0.5000, 0.5000)
Bi (0.8427, 0.8427, 0.1785)
Bi (0.8518, 0.8518, 0.6649)